# Pr5Sm12Ho2 (PBE, relaxed)
data_Pr5Sm12Ho2
_chemical_formula_sum 'Pr10 Sm24 Ho4'
_cell_length_a 18.0695
_cell_length_b 11.8326
_cell_length_c 6.2625
_cell_angle_alpha 90.00
_cell_angle_beta 102.92
_cell_angle_gamma 90.00
_space_group_name_H-M_alt 'C 1 2/m 1'
_space_group_IT_number 12
loop_
_space_group_symop_operation_xyz
'x,y,z'
'-x,-y,-z'
'-x,y,-z'
'x,-y,z'
'x+1/2,y+1/2,z'
'-x+1/2,-y+1/2,-z'
'-x+1/2,y+1/2,-z'
'x+1/2,-y+1/2,z'
loop_
_atom_site_label
_atom_site_type_symbol
_atom_site_fract_x
_atom_site_fract_y
_atom_site_fract_z
Pr1 Pr 0.0000 0.0000 0.0000
Pr2 Pr 0.1755 0.5000 0.3577
Pr3 Pr 0.2148 0.0000 0.0545
Sm1 Sm 0.0523 0.5000 0.7740
Sm2 Sm 0.1025 0.2543 0.1186
Sm3 Sm 0.1193 0.0000 0.4975
Sm4 Sm 0.1966 0.2540 0.6993
Ho1 Ho 0.0000 0.2294 0.5000
# - Calculated formation energy: 0.100 eV per atom
# - ΔE to the lowest computed polymorph: 0.000 eV per atom
# - ρ: 7.2 g cm⁻³
# - DOS(E_F): 1.50 states/eV/atom
# - E_tot: -175.56 eV per cell